First-principles (PBE) data for a relaxed Na3AgAs crystal, as listed in Alexandria via LeMat-Bulk.

* distance to the lowest polymorph of the same formula: 0.000 eV per atom
* formation enthalpy at 0 K: -0.8 eV per formula unit
* DOS at the Fermi energy: 0.31 states/eV/atom
* symmetry: C2/m (12)
* total DFT energy (no corrections): -24.61 eV per cell

abc: 6.335 6.335 8.948
angles: 79.32 124.70 117.24
Fractional positions:
1 Na 0.059 0.251 0.750
2 Na 0.004 0.813 0.251
3 Na 0.562 0.754 0.749
4 Na 0.109 0.331 0.378
5 Na 0.501 0.310 0.250
6 Na 0.954 0.732 0.622
7 Ag 0.532 0.032 0.000
8 Ag 0.032 0.532 0.000
9 As 0.518 0.816 0.270
10 As 0.546 0.248 0.730



First-principles (PBE) data for a relaxed NaAg5As2 crystal, as listed in Alexandria via LeMat-Bulk.

* distance to the lowest polymorph of the same formula: 0.000 eV per atom
* formation enthalpy at 0 K: -0.2 eV per formula unit
* DOS at the Fermi energy: 0.23 states/eV/atom
* symmetry: Immm (71)
* total DFT energy (no corrections): -25.10 eV per cell

abc: 4.434 6.570 6.570
angles: 73.90 70.28 70.28
Fractional positions:
1 Na 0.000 0.000 0.000
2 Ag 0.000 0.500 0.500
3 Ag 0.657 0.521 0.164
4 Ag 0.343 0.479 0.836
5 Ag 0.343 0.836 0.479
6 Ag 0.657 0.164 0.521
7 As 0.727 0.773 0.773
8 As 0.273 0.227 0.227



Number 1 is which compound?
Na3AgAs



Which of these has the lowest DOS at the Fermi energy?
NaAg5As2